A plane-wave DFT calculation with PBE+U was carried out for a relaxed CoTePb2O6 crystal.

Summary:
**E_tot**: -5.61 eV per atom

Cell: 5.7287 5.6576 9.7743 Å, 90.00 125.59 90.00°
With the nearest neighbours (Å) after each atom.
Fractional positions:
O 0.2018 0.0030 0.2591  1 Te 1.94, 1 Co 2.08
O 0.7982 0.5030 0.2409  1 Te 1.94, 1 Co 2.08
O 0.6948 0.2560 0.4698  1 Te 1.95, 1 Co 2.11
O 0.3052 0.7560 0.0302  1 Te 1.95, 1 Co 2.11
O 0.6948 0.2440 0.9698  1 Te 1.95, 1 Co 2.11
O 0.7982 0.9970 0.7409  1 Te 1.94, 1 Co 2.08
O 0.2018 0.4970 0.7591  1 Te 1.94, 1 Co 2.08
O 0.7175 0.7703 0.4669  1 Te 1.95, 1 Co 2.11
O 0.2825 0.2297 0.5331  1 Te 1.95, 1 Co 2.11
O 0.3052 0.7440 0.5302  1 Te 1.95, 1 Co 2.11
O 0.2825 0.2703 0.0331  1 Te 1.95, 1 Co 2.11
O 0.7175 0.7297 0.9669  1 Te 1.95, 1 Co 2.11
Co 0.0000 0.0000 0.0000  6 O 2.08-2.11
Co 0.0000 0.5000 0.5000  6 O 2.08-2.11
Pb 0.7433 0.4988 0.7489  7 O 2.56-2.86
Pb 0.7433 0.0012 0.2489  7 O 2.56-2.86
Pb 0.2567 0.9988 0.7511  7 O 2.56-2.86
Pb 0.2567 0.5012 0.2511  7 O 2.56-2.86
Te 0.5000 0.0000 0.5000  6 O 1.94-1.95
Te 0.5000 0.5000 0.0000  6 O 1.94-1.95